Entry 1:
Below is a relaxed EuThMgSc crystal, with properties calculated at the PBE-GGA level.

Computed properties:
* mass density: 6.4 g/cm3
* DFT total energy: -25.0 eV for the cell shown
* crystal system: cubic

Geometry as POSCAR:
```
EuThMgSc
1.0
5.508 0.000 0.000
2.754 4.770 0.000
2.754 1.590 4.497
Eu Sc Mg Th
1 1 1 1
Direct
0.250 0.250 0.250
0.500 0.500 0.500
0.000 0.000 0.000
0.750 0.750 0.750
```



Entry 2:
Below is a relaxed EuMgScTl crystal, with properties calculated at the PBE-GGA level.

Computed properties:
* mass density: 6.6 g/cm3
* DFT total energy: -21.3 eV for the cell shown
* crystal system: cubic

Geometry as POSCAR:
```
EuMgScTl
1.0
-4.202 2.967 -1.381
-4.621 -2.341 -1.238
-4.164 0.417 3.295
Eu Sc Tl Mg
1 1 1 1
Direct
0.500 0.500 0.500
0.000 0.000 0.000
0.250 0.250 0.250
0.750 0.750 0.750
```